Density functional theory data (GGA-PBE) for Bi10Te10Ir after structural relaxation.

Computed properties:
final energy	-3.894	eV per atom

Structure (POSCAR):
```
Bi10Te10Ir
1.0
-7.935 -3.041 -2.209
4.686 -4.585 -10.519
2.695 -11.565 6.242
Te Bi Ir
20 20 2
Cartesian
0.685 -11.476 -4.110
-4.568 -5.090 -2.363
-0.877 -12.534 2.958
-0.780 -3.638 -1.308
4.549 -11.923 0.076
2.832 -4.227 -4.353
0.958 -3.946 1.992
6.423 -12.205 -6.269
0.226 -15.553 -5.178
-1.830 -9.077 -6.708
-1.239 -7.716 -2.376
4.015 -14.101 -4.124
2.794 -6.127 -1.601
-2.512 -11.567 -0.833
4.436 -5.412 -8.483
0.324 -6.658 -9.444
2.945 -10.738 4.207
4.587 -10.023 -2.676
1.958 -7.625 -5.653
1.277 -10.114 0.221
1.736 -8.824 -2.683
-2.478 -6.046 -7.725
1.331 -14.217 -2.655
1.500 -1.971 -2.674
-0.041 -12.894 -7.049
-2.289 -10.367 -3.803
2.494 -7.408 1.239
5.881 -14.180 -1.603
-1.505 -9.810 1.463
-5.980 -2.292 -1.665
4.887 -8.742 -5.516
1.924 -13.145 1.239
-3.924 -7.605 -0.387
0.951 -9.382 -7.949
0.933 -4.739 -6.775
-1.955 -0.749 -0.544
-1.487 -14.453 0.289
3.370 -11.587 -6.099
-1.884 -4.975 -3.831
-0.512 -6.297 0.563
-1.624 -3.813 -6.364
-2.620 -7.303 2.016
```